[1]
Ac5Tl2Hg2: optimized geometry, GGA-PBE. Values from VASP.

The structure in Quantum ESPRESSO input format:
```
&SYSTEM
  ibrav = 0, nat = 18, ntyp = 3
/
ATOMIC_SPECIES
Ac 227.00 Ac.upf
Tl 204.38 Tl.upf
Hg 200.59 Hg.upf
CELL_PARAMETERS angstrom
8.3574 0.0000 3.0337
0.0000 8.4044 0.0000
1.1370 0.0000 9.8963
ATOMIC_POSITIONS angstrom
Ac 0.0000 0.0000 0.0000
Ac 4.1787 4.2022 1.5168
Ac 4.6498 1.4044 8.4658
Ac 7.7172 7.0000 9.5793
Ac 3.5385 5.6066 8.0624
Ac 8.8285 2.7978 9.9827
Ac 4.8446 7.0000 4.4642
Ac 1.7772 1.4044 3.3507
Ac 5.9559 2.7978 4.8676
Ac 0.6659 5.6066 2.9473
Tl 1.0745 3.1936 0.3900
Tl 7.2829 5.2108 2.6437
Tl 3.1042 7.3958 1.1268
Tl 5.2532 1.0086 1.9069
Hg 2.4069 0.0000 6.3980
Hg 6.5856 4.2022 7.9149
Hg 7.0875 0.0000 6.5320
Hg 2.9088 4.2022 5.0151
```

Relative energy among the computed polymorphs   0 meV per atom
SG   Cmce

[2]
Ac11Tl9Hg4: optimized geometry, GGA-PBE. Values from VASP.

The structure in Quantum ESPRESSO input format:
```
&SYSTEM
  ibrav = 0, nat = 24, ntyp = 3
/
ATOMIC_SPECIES
Ac 227.00 Ac.upf
Tl 204.38 Tl.upf
Hg 200.59 Hg.upf
CELL_PARAMETERS angstrom
-2.2380 -2.9844 -1.8451
11.7529 -4.0251 -7.7452
-1.0752 -7.0857 12.7654
ATOMIC_POSITIONS angstrom
Ac 5.9057 -8.9910 7.3798
Ac 4.7720 -2.1198 -2.3595
Ac 10.3552 -7.9294 0.2654
Ac 0.3225 -3.1814 4.7548
Ac 7.1466 -5.1241 -0.3802
Ac 3.5311 -5.9867 5.4005
Ac 9.6476 -4.5274 -4.3792
Ac 1.0300 -6.5834 9.3994
Ac 0.0000 0.0000 0.0000
Ac 7.6247 -7.9340 3.5849
Ac 3.0530 -3.1768 1.4354
Tl 6.1517 -5.1057 -3.8967
Tl 2.2880 -8.9894 7.0719
Tl -0.0275 -6.5800 5.9832
Tl 8.4672 -7.5152 -2.8081
Tl 7.1389 -11.3137 4.9474
Tl 1.3008 -2.7815 -1.7722
Tl 9.0599 -10.8554 1.8759
Tl -0.6202 -3.2398 1.2993
Tl 4.2198 -7.0476 1.5876
Hg 4.5458 -8.9942 4.3409
Hg 3.8939 -5.1010 -1.1658
Hg 7.0591 -8.3946 0.3224
Hg 1.3806 -5.7006 2.8528
```

SG   Cmmm

[3]
Ac2TlHg16: optimized geometry, GGA-PBE. Values from VASP.

The structure in Quantum ESPRESSO input format:
```
&SYSTEM
  ibrav = 0, nat = 19, ntyp = 3
/
ATOMIC_SPECIES
Ac 227.00 Ac.upf
Tl 204.38 Tl.upf
Hg 200.59 Hg.upf
CELL_PARAMETERS angstrom
8.3192 0.9733 2.0216
1.8065 8.1788 2.0216
1.0769 0.9733 8.4933
ATOMIC_POSITIONS angstrom
Ac 7.9040 7.1441 8.8452
Ac 3.2925 2.9759 3.6845
Tl 10.1830 9.2040 11.3956
Hg 6.1597 0.9839 3.9744
Hg 1.3072 3.1436 6.5662
Hg 3.7702 6.0293 2.0346
Hg 1.5994 6.0293 3.9744
Hg 6.3784 3.1436 2.0346
Hg 3.2593 0.9839 6.5662
Hg 5.3495 7.5872 5.9865
Hg 8.0875 4.5579 5.9865
Hg 5.0427 4.5579 8.7072
Hg 5.7361 2.7633 6.4192
Hg 3.3271 5.4286 6.4192
Hg 6.0060 5.4286 4.0253
Hg 10.1901 6.0581 11.4035
Hg 7.0538 9.5279 11.4035
Hg 10.5414 9.5279 8.2870
Hg 1.2360 1.1171 1.3831
```

SG   R3m

[4]
AcTl15Hg4: optimized geometry, GGA-PBE. Values from VASP.

The structure in Quantum ESPRESSO input format:
```
&SYSTEM
  ibrav = 0, nat = 20, ntyp = 3
/
ATOMIC_SPECIES
Ac 227.00 Ac.upf
Tl 204.38 Tl.upf
Hg 200.59 Hg.upf
CELL_PARAMETERS angstrom
-0.0633 -4.3171 2.5558
-0.3245 -2.5471 -4.3105
23.7778 -1.0435 -1.1733
ATOMIC_POSITIONS angstrom
Ac 0.0000 0.0000 0.0000
Tl -0.1939 -3.4321 -0.8774
Tl 4.5824 -3.6417 -1.1130
Tl 9.3376 -3.8504 -1.3477
Tl 14.0524 -4.0573 -1.5803
Tl 18.8076 -4.2660 -1.8150
Tl 2.4820 -2.2689 1.1539
Tl 7.0995 -2.4715 0.9260
Tl 11.8572 -2.6803 0.6913
Tl 16.6150 -2.8891 0.4565
Tl 21.2324 -3.0917 0.2287
Tl 2.3515 -1.3839 -2.2793
Tl 6.9689 -1.5865 -2.5071
Tl 11.7267 -1.7953 -2.7419
Tl 16.4844 -2.0041 -2.9767
Tl 21.1019 -2.2067 -3.2045
Hg 4.7220 -0.2072 -0.2330
Hg 9.5624 -0.4196 -0.4718
Hg 14.2154 -0.6238 -0.7014
Hg 19.0558 -0.8362 -0.9403
```

SG   P4/mmm

[5]
Ac6TlHg5: optimized geometry, GGA-PBE. Values from VASP.

The structure in Quantum ESPRESSO input format:
```
&SYSTEM
  ibrav = 0, nat = 12, ntyp = 3
/
ATOMIC_SPECIES
Ac 227.00 Ac.upf
Tl 204.38 Tl.upf
Hg 200.59 Hg.upf
CELL_PARAMETERS angstrom
-5.6435 -0.2479 0.9989
-0.3113 -7.2870 -3.5673
4.4589 -0.0179 8.8877
ATOMIC_POSITIONS angstrom
Ac -1.9124 -4.4462 4.6660
Ac -1.7585 -0.8312 6.4357
Ac 1.4053 -5.5791 6.7253
Ac -2.9012 -1.9737 -0.4059
Ac 0.2627 -6.7216 -0.1164
Ac 0.4166 -3.1066 1.6533
Tl 0.0000 0.0000 0.0000
Hg -2.3340 -1.3747 3.0118
Hg 0.9866 -2.5185 5.0590
Hg -0.1556 -3.6435 -1.7837
Hg -2.4824 -5.0343 1.2603
Hg 0.8381 -6.1782 3.3076
```

SG   C2/m

[6]
Ac4TlHg3: optimized geometry, GGA-PBE. Values from VASP.

The structure in Quantum ESPRESSO input format:
```
&SYSTEM
  ibrav = 0, nat = 8, ntyp = 3
/
ATOMIC_SPECIES
Ac 227.00 Ac.upf
Tl 204.38 Tl.upf
Hg 200.59 Hg.upf
CELL_PARAMETERS angstrom
-2.4688 -2.9279 1.5483
0.2076 -2.5684 -4.5259
10.3062 -6.4920 4.1569
ATOMIC_POSITIONS angstrom
Ac 2.5796 -5.0852 0.0077
Ac 8.8595 -6.7996 1.2686
Ac 1.5299 -0.9637 0.6171
Ac 5.4028 -5.6448 3.4512
Tl -0.3228 -3.2570 -1.1630
Hg 6.0730 -5.0443 0.1447
Hg 4.3429 -2.7357 1.7517
Hg 8.2375 -7.4304 4.5945
```

Relative energy among the computed polymorphs   24 meV per atom
SG   Pmm2

[7]
Ac5Tl4Hg: optimized geometry, GGA-PBE. Values from VASP.

The structure in Quantum ESPRESSO input format:
```
&SYSTEM
  ibrav = 0, nat = 10, ntyp = 3
/
ATOMIC_SPECIES
Ac 227.00 Ac.upf
Tl 204.38 Tl.upf
Hg 200.59 Hg.upf
CELL_PARAMETERS angstrom
-2.3084 0.1838 3.2937
0.7478 -3.8862 0.7410
17.1638 5.5373 11.7205
ATOMIC_POSITIONS angstrom
Ac 0.8413 -1.3280 3.1246
Ac 4.3110 -0.2086 5.4940
Ac 7.8016 0.9175 7.8776
Ac 11.2921 2.0436 10.2611
Ac 14.7618 3.1630 12.6305
Tl 3.3305 1.0745 2.2743
Tl 6.8286 2.2030 4.6630
Tl 10.3351 3.3343 7.0575
Tl 13.8333 4.4629 9.4463
Hg 0.0000 0.0000 0.0000
```

SG   P4/mmm

[8]
Ac5TlHg4: optimized geometry, GGA-PBE. Values from VASP.

The structure in Quantum ESPRESSO input format:
```
&SYSTEM
  ibrav = 0, nat = 10, ntyp = 3
/
ATOMIC_SPECIES
Ac 227.00 Ac.upf
Tl 204.38 Tl.upf
Hg 200.59 Hg.upf
CELL_PARAMETERS angstrom
-3.4629 -1.2825 1.6654
1.3639 -3.8131 -0.1006
8.0708 2.3953 18.6261
ATOMIC_POSITIONS angstrom
Ac -0.2061 -2.2975 2.7289
Ac 1.3900 -1.8238 6.4124
Ac 2.9859 -1.3502 10.0954
Ac 4.5818 -0.8766 13.7785
Ac 6.1779 -0.4029 17.4619
Tl 0.0000 0.0000 0.0000
Hg 1.6420 0.4873 3.7895
Hg 3.2319 0.9592 7.4586
Hg 4.8390 1.4361 11.1675
Hg 6.4288 1.9079 14.8366
```

SG   P4/mmm

[9]
Ac6Tl2Hg: optimized geometry, GGA-PBE. Values from VASP.

The structure in Quantum ESPRESSO input format:
```
&SYSTEM
  ibrav = 0, nat = 9, ntyp = 3
/
ATOMIC_SPECIES
Ac 227.00 Ac.upf
Tl 204.38 Tl.upf
Hg 200.59 Hg.upf
CELL_PARAMETERS angstrom
-3.1795 2.6571 -3.8073
4.2964 -3.2681 -5.8687
-5.8250 -6.2683 4.6432
ATOMIC_POSITIONS angstrom
Ac -0.6714 -2.9722 -1.5099
Ac -6.2127 -2.2519 -0.5507
Ac -4.0368 -3.9071 -3.5230
Ac -0.5464 0.5349 -3.3289
Ac 1.5046 -4.6273 -4.4822
Ac 1.6632 -1.1459 -6.3471
Tl -1.1881 -2.4913 -4.8994
Tl -3.5201 -4.3880 -0.1335
Hg 0.0000 0.0000 0.0000
```

Relative energy among the computed polymorphs   116 meV per atom
SG   Immm

[10]
Ac3TlHg3: optimized geometry, GGA-PBE. Values from VASP.

The structure in Quantum ESPRESSO input format:
```
&SYSTEM
  ibrav = 0, nat = 14, ntyp = 3
/
ATOMIC_SPECIES
Ac 227.00 Ac.upf
Tl 204.38 Tl.upf
Hg 200.59 Hg.upf
CELL_PARAMETERS angstrom
5.3226 0.0000 0.0000
0.0000 10.0931 0.0000
0.0000 -5.0465 8.7409
ATOMIC_POSITIONS angstrom
Ac 3.9920 3.8660 4.9409
Ac 3.9920 3.8811 0.8775
Ac 3.9920 7.3925 2.9224
Ac 1.3307 1.1806 3.7999
Ac 1.3307 1.1654 7.8633
Ac 1.3307 -2.3460 5.8185
Tl 1.3307 5.0465 2.9136
Tl 3.9920 0.0000 5.8272
Hg 1.3307 4.3577 6.8480
Hg 1.3307 1.9837 0.3499
Hg 1.3307 8.7982 1.5430
Hg 3.9920 0.6889 1.8929
Hg 3.9920 3.0628 8.3910
Hg 3.9920 -3.7517 7.1979
```

SG   P6_3/m

[11]
Ac4Tl5Hg2: optimized geometry, GGA-PBE. Values from VASP.

The structure in Quantum ESPRESSO input format:
```
&SYSTEM
  ibrav = 0, nat = 11, ntyp = 3
/
ATOMIC_SPECIES
Ac 227.00 Ac.upf
Tl 204.38 Tl.upf
Hg 200.59 Hg.upf
CELL_PARAMETERS angstrom
4.0415 0.0000 0.0000
0.0000 8.8607 0.4368
0.0000 -0.3277 10.3221
ATOMIC_POSITIONS angstrom
Ac 2.0208 6.4822 6.7008
Ac 2.0208 1.6556 8.9630
Ac 2.0208 2.0508 4.0581
Ac 2.0208 6.8774 1.7959
Tl 0.0000 4.8832 3.8918
Tl 0.0000 1.0578 1.3183
Tl 0.0000 4.4304 0.2184
Tl 0.0000 7.4752 9.4406
Tl 0.0000 3.6499 6.8671
Hg 0.0000 0.5183 6.4686
Hg 0.0000 8.0148 4.2903
```

SG   P2/m

[12]
Ac7Tl2Hg2: optimized geometry, GGA-PBE. Values from VASP.

The structure in Quantum ESPRESSO input format:
```
&SYSTEM
  ibrav = 0, nat = 11, ntyp = 3
/
ATOMIC_SPECIES
Ac 227.00 Ac.upf
Tl 204.38 Tl.upf
Hg 200.59 Hg.upf
CELL_PARAMETERS angstrom
7.4175 -0.0029 -1.0689
0.0036 8.4397 0.0038
-1.5290 -0.0025 7.3365
ATOMIC_POSITIONS angstrom
Ac 6.6520 2.3927 2.6032
Ac 2.1852 6.0388 6.8029
Ac -0.7598 6.0415 3.6683
Ac 3.7070 2.3954 -0.5314
Ac 0.0000 0.0000 0.0000
Ac 2.9490 6.3285 3.1348
Ac 2.9432 2.1058 3.1367
Tl 4.8595 4.2154 5.1723
Tl 1.0327 4.2189 1.0992
Hg 4.8541 8.4367 1.3467
Hg 1.0381 -0.0024 4.9247
```

SG   Cmmm

The records above give, respectively, E values of -29.05 -76.66 -18.19 -41.37 -33.92 -22.99 -34.04 -28.58 -30.55 -17.89 -32.59 -35.12 eV/f.u..
The records above give, respectively, DFT formation energy values of -352.8 -373.6 -146.0 -28.2 -449.9 -410.8 -372.9 -446.9 -96.7 -327.5 -338.4 -93.1 meV per atom.